(1)
NbSe2IBr | PBE-GGA | optimized geometry

Unit cell a=5.416 b=5.416 c=5.511 alpha=90.00 beta=90.00 gamma=90.00
Sites, in units of the cell vectors:
Nb 0.000 0.000 0.000
Se 0.000 0.500 0.500
Se 0.500 0.000 0.500
I 0.500 0.500 0.500
Br 0.500 0.500 0.000

Calculated values
The density of states at the Fermi level is 1.4006 states/eV per atom. The calculation puts the raw formation energy at 1.190 eV per atom.

***

(2)
Pr3Sc2Ga4 | PBE-GGA | optimized geometry

Unit cell a=6.374 b=6.374 c=9.111 alpha=108.12 beta=108.12 gamma=40.92
Sites, in units of the cell vectors:
Pr 0.000 0.000 0.000
Pr 0.383 0.383 0.302
Pr 0.617 0.617 0.698
Sc 0.314 0.314 0.649
Sc 0.686 0.686 0.351
Ga 0.077 0.077 0.414
Ga 0.275 0.275 0.936
Ga 0.725 0.725 0.064
Ga 0.923 0.923 0.586

Calculated values
Its calculated formation energy is -490 meV per atom. The density of states at the Fermi level is 0.9801 states/eV per atom.